(1)
Density functional theory data (meta-GGA SCAN) for a PBEsol-optimized structure of FeRePb.

- symmetry = F-43m (216)
- energy (eV per cell) = -160.65
- V (Å³ per atom) = 19.5

a b c (Å): 4.3542 4.3542 4.3542
angles (deg): 60.00 60.00 60.00
Closest atoms and distances in Å follow each position.
Fractional positions:
Fe  0.0000  0.0000  0.0000  4 Pb 2.67
Re  0.5000  0.5000  0.5000  4 Pb 2.67
Pb  0.7500  0.7500  0.7500  4 Fe 2.67, 4 Re 2.67

---

(2)
Density functional theory data (meta-GGA SCAN) for a PBEsol-optimized structure of MgInTc.

- symmetry = F-43m (216)
- V (Å³ per atom) = 20.8
- energy above the lowest structure with this stoichiometry (meV/atom) = 0

a b c (Å): 4.4530 4.4530 4.4530
angles (deg): 60.00 60.00 60.00
Closest atoms and distances in Å follow each position.
Fractional positions:
Mg  0.0000  0.0000  0.0000  4 In 2.73
In  0.2500  0.2500  0.2500  4 Tc 2.73, 4 Mg 2.73
Tc  0.5000  0.5000  0.5000  4 In 2.73

---

(3)
Density functional theory data (meta-GGA SCAN) for a PBEsol-optimized structure of MnPt4.

- symmetry = I4/m (87)
- energy (eV per cell) = -300.88
- V (Å³ per atom) = 14.7

a b c (Å): 4.7502 4.7502 4.7502
angles (deg): 99.75 99.75 131.40
Closest atoms and distances in Å follow each position.
Fractional positions:
Mn  0.0000  0.0000  0.0000  12 Pt 2.73-2.75
Pt  0.2006  0.6025  0.8031  3 Mn 2.73-2.75, 9 Pt 2.73-2.76
Pt  0.3975  0.2006  0.5981  3 Mn 2.73-2.75, 9 Pt 2.73-2.76
Pt  0.6025  0.7994  0.4019  3 Mn 2.73-2.75, 9 Pt 2.73-2.76
Pt  0.7994  0.3975  0.1969  3 Mn 2.73-2.75, 9 Pt 2.73-2.76

---

The lowest V belongs to which entry? MnPt4

---

Look up the V of the first one. 19.5 Å³ per atom

---

What did the first record say?
Density functional theory data (meta-GGA SCAN) for a PBEsol-optimized structure of FeRePb.

- symmetry = F-43m (216)
- energy (eV per cell) = -160.65
- V (Å³ per atom) = 19.5

a b c (Å): 4.3542 4.3542 4.3542
angles (deg): 60.00 60.00 60.00
Closest atoms and distances in Å follow each position.
Fractional positions:
Fe  0.0000  0.0000  0.0000  4 Pb 2.67
Re  0.5000  0.5000  0.5000  4 Pb 2.67
Pb  0.7500  0.7500  0.7500  4 Fe 2.67, 4 Re 2.67